Here is a relaxed Tb6DyHo3Er2 crystal from Alexandria via LeMat-Bulk. Energies are from PBE.

Cell: 6.1223 10.5944 11.6968 Å, 90.00 99.99 90.00°
Space group C2/m (No. 12)
Asymmetric unit:
Tb (0.2499, 0.0000, 0.2502) [4 per cell]
Tb (0.2504, 0.1668, 0.7499) [8 per cell]
Dy (0.0000, 0.0000, 0.5000) [2 per cell]
Ho (0.0000, 0.1668, 0.0000) [4 per cell]
Ho (0.0000, 0.5000, 0.0000) [2 per cell]
Er (0.0000, 0.3333, 0.5000) [4 per cell]

Results
Total magnetic moment   0.000 μB per atom
E_tot   -4.587 eV per atom